1.
VASP calculation (PBE-GGA) on crystalline ThNbSi2Ir at its relaxed geometry.

ΔE_f (raw), kJ/mol of formula units: -358
Calculated volume, Å³/cell: 186.11

```
data_ThNbSi2Ir
_space_group_name_H-M_alt 'I -4 m 2'
_space_group_IT_number 119
_space_group_name_Hall 'I -4 -2'
_cell_length_a 4.179
_cell_length_b 4.179
_cell_length_c 10.655
_cell_angle_alpha 90.00
_cell_angle_beta 90.00
_cell_angle_gamma 90.00
loop_
_atom_site_label
_atom_site_fract_x
_atom_site_fract_y
_atom_site_fract_z
Th1 0.000 0.000 0.000
Nb1 0.000 0.500 0.250
Si1 0.000 0.000 0.386
Ir1 0.000 0.500 0.750
```

***

2.
VASP calculation (PBE-GGA) on crystalline Tl3HgRh at its relaxed geometry.

Calculated volume, Å³/cell: 1024.63
Relative energy among the computed polymorphs, eV/atom: 0.0900

```
data_Tl3HgRh
_space_group_name_H-M_alt 'C 1 2/c 1'
_space_group_IT_number 15
_space_group_name_Hall '-C 2yc'
_cell_length_a 13.343
_cell_length_b 13.089
_cell_length_c 5.870
_cell_angle_alpha 90.00
_cell_angle_beta 91.80
_cell_angle_gamma 90.00
loop_
_atom_site_label
_atom_site_fract_x
_atom_site_fract_y
_atom_site_fract_z
Tl1 0.090 0.087 0.007
Tl2 0.164 0.164 0.510
Tl3 0.164 0.351 0.008
Hg1 0.090 0.420 0.506
Rh1 0.000 0.254 0.250
Rh2 0.000 0.254 0.750
```

***

3.
VASP calculation (PBE-GGA) on crystalline HfAsS at its relaxed geometry.

ΔE_f (raw), kJ/mol of formula units: -260
Calculated volume, Å³/cell: 217.94

```
data_HfAsS
_space_group_name_H-M_alt 'I 4/m m m'
_space_group_IT_number 139
_space_group_name_Hall '-I 4 2'
_cell_length_a 3.748
_cell_length_b 3.748
_cell_length_c 15.517
_cell_angle_alpha 90.00
_cell_angle_beta 90.00
_cell_angle_gamma 90.00
loop_
_atom_site_label
_atom_site_fract_x
_atom_site_fract_y
_atom_site_fract_z
Hf1 0.000 0.000 0.140
As1 0.000 0.500 0.000
S1 0.000 0.000 0.311
```

***

4.
VASP calculation (PBE-GGA) on crystalline Ta2Tl at its relaxed geometry.

VASP energy, eV per atom: -8.215
Calculated volume, Å³/cell: 238.72

```
data_Ta2Tl
_space_group_name_H-M_alt 'C 1 m 1'
_space_group_IT_number 8
_space_group_name_Hall 'C -2y'
_cell_length_a 11.210
_cell_length_b 3.029
_cell_length_c 7.238
_cell_angle_alpha 90.00
_cell_angle_beta 103.80
_cell_angle_gamma 90.00
loop_
_atom_site_label
_atom_site_fract_x
_atom_site_fract_y
_atom_site_fract_z
Ta1 0.000 0.000 0.000
Ta2 0.057 0.000 0.628
Ta3 0.171 0.500 0.352
Ta4 0.332 0.000 0.668
Tl1 0.222 0.500 0.952
Tl2 0.399 0.000 0.293
```

***

5.
VASP calculation (PBE-GGA) on crystalline Ca2H3N2 at its relaxed geometry.

Calculated volume, Å³/cell: 88.84
Relative energy among the computed polymorphs, eV/atom: 0.1266

```
data_Ca2H3N2
_space_group_name_H-M_alt 'P 1 2/m 1'
_space_group_IT_number 10
_space_group_name_Hall '-P 2y'
_cell_length_a 3.576
_cell_length_b 3.478
_cell_length_c 7.208
_cell_angle_alpha 90.00
_cell_angle_beta 97.78
_cell_angle_gamma 90.00
loop_
_atom_site_label
_atom_site_fract_x
_atom_site_fract_y
_atom_site_fract_z
Ca1 0.243 0.000 0.207
H1 0.289 0.500 0.706
H2 0.500 0.500 0.000
N1 0.247 0.500 0.848
```

***

6.
VASP calculation (PBE-GGA) on crystalline BaCd3 at its relaxed geometry.

VASP energy, eV per atom: -1.457
Calculated volume, Å³/cell: 475.73

```
data_BaCd3
_space_group_name_H-M_alt 'P n m a'
_space_group_IT_number 62
_space_group_name_Hall '-P 2ac 2n'
_cell_length_a 7.911
_cell_length_b 5.212
_cell_length_c 11.539
_cell_angle_alpha 90.00
_cell_angle_beta 90.00
_cell_angle_gamma 90.00
loop_
_atom_site_label
_atom_site_fract_x
_atom_site_fract_y
_atom_site_fract_z
Ba1 0.235 0.250 0.167
Cd1 0.049 0.750 0.387
Cd2 0.075 0.250 0.867
Cd3 0.235 0.750 0.966
```